[1]
BaEr4ScSe8: relaxed, PBE-GGA.

Unit cell a=8.573 b=8.573 c=8.408 alpha=59.35 beta=59.35 gamma=60.00
Atoms (fractional coordinates):
Er: 0.493 0.003 0.501
Er: 0.003 0.493 0.501
Er: 0.003 0.003 0.501
Er: 0.623 0.623 0.130
Ba: 0.383 0.383 0.851
Sc: 0.001 0.001 0.997
Se: 0.227 0.759 0.256
Se: 0.224 0.808 0.744
Se: 0.224 0.224 0.744
Se: 0.758 0.758 0.727
Se: 0.808 0.224 0.744
Se: 0.236 0.236 0.293
Se: 0.759 0.227 0.256
Se: 0.759 0.759 0.256

Output
M_tot: 0.00 Bohr magnetons per cell
Formation energy from raw total energies: -1.7214 eV per atom

***

[2]
Zr3CdN: relaxed, PBE-GGA.

Unit cell a=11.437 b=5.801 c=5.801 alpha=47.65 beta=41.95 gamma=65.64
Atoms (fractional coordinates):
Zr: 0.815 0.900 0.259
Zr: 0.081 0.400 0.227
Zr: 0.336 0.867 0.183
Zr: 0.475 0.615 0.653
Zr: 0.209 0.115 0.685
Zr: 0.953 0.648 0.730
N: 0.071 0.879 0.725
N: 0.218 0.637 0.188
Cd: 0.711 0.149 0.715
Cd: 0.579 0.366 0.197

Output
M_tot: 0.00 Bohr magnetons per cell
Formation energy from raw total energies: -0.7621 eV per atom

***

[3]
Sc2Zn2Rh: relaxed, PBE-GGA.

Unit cell a=3.164 b=3.945 c=7.201 alpha=74.10 beta=90.00 gamma=90.00
Atoms (fractional coordinates):
Zn: 0.000 0.802 0.396
Zn: 0.000 0.198 0.604
Sc: 0.500 0.393 0.213
Sc: 0.500 0.607 0.787
Rh: 0.000 0.000 0.000

Output
ΔE to the lowest computed polymorph: 0.00 kcal/mol of atoms
M_tot: 0.00 Bohr magnetons per cell
Energy of formation: -0.514 eV per atom

***

[4]
HgSe3Cl: relaxed, PBE-GGA.

Unit cell a=5.389 b=5.389 c=5.389 alpha=90.00 beta=90.00 gamma=90.00
Last column: magnetic moment on the atom in μB.
Atoms (fractional coordinates):
Cl: 0.500 0.500 0.500  0.48
Se: 0.000 0.000 0.500  0.69
Se: 0.500 0.000 0.000  0.82
Se: 0.000 0.500 0.000  0.76
Hg: 0.000 0.000 0.000  0.00

Output
ΔE to the lowest computed polymorph: 0.22 kcal/mol of atoms
M_tot: 4.16 Bohr magnetons per cell
Formation energy from raw total energies: 0.8237 eV per atom

***

[5]
MgCu2Ag2: relaxed, PBE-GGA.

Unit cell a=3.903 b=3.903 c=6.466 alpha=72.43 beta=72.43 gamma=90.00
Atoms (fractional coordinates):
Cu: 0.598 0.598 0.804
Cu: 0.402 0.402 0.196
Ag: 0.750 0.250 0.500
Ag: 0.250 0.750 0.500
Mg: 0.000 0.000 0.000

Output
ΔE to the lowest computed polymorph: 2.68 kcal/mol of atoms
M_tot: 0.00 Bohr magnetons per cell
Energy of formation: 0.146 eV per atom

***

[6]
YCd3Ag3: relaxed, PBE-GGA.

Unit cell a=7.442 b=7.442 c=7.442 alpha=90.00 beta=90.00 gamma=90.00
Atoms (fractional coordinates):
Ag: 0.250 0.500 0.000
Ag: 0.750 0.500 0.000
Ag: 0.500 0.000 0.750
Ag: 0.000 0.250 0.500
Ag: 0.000 0.750 0.500
Ag: 0.500 0.000 0.250
Cd: 0.500 0.750 0.000
Cd: 0.750 0.000 0.500
Cd: 0.000 0.500 0.750
Cd: 0.500 0.250 0.000
Cd: 0.000 0.500 0.250
Cd: 0.250 0.000 0.500
Y: 0.500 0.500 0.500
Y: 0.000 0.000 0.000

Output
M_tot: 0.00 Bohr magnetons per cell
Energy of formation: 0.470 eV per atom

***

[7]
SbTeIrI2: relaxed, PBE-GGA.

Unit cell a=5.453 b=5.453 c=5.134 alpha=90.00 beta=90.00 gamma=90.00
Atoms (fractional coordinates):
I: 0.000 0.500 0.000
I: 0.500 0.000 0.000
Sb: 0.000 0.000 0.500
Te: 0.500 0.500 0.500
Ir: 0.000 0.000 0.000

Output
ΔE to the lowest computed polymorph: 0.00 kcal/mol of atoms
M_tot: 0.00 Bohr magnetons per cell
Formation energy from raw total energies: 0.4695 eV per atom

***

[8]
Be4Co: relaxed, PBE-GGA.

Unit cell a=4.129 b=4.129 c=4.129 alpha=101.33 beta=101.33 gamma=127.39
Atoms (fractional coordinates):
Be: 0.700 0.300 0.000
Be: 0.700 0.700 0.400
Be: 0.300 0.300 0.600
Be: 0.300 0.700 0.000
Co: 0.000 0.000 0.000

Output
ΔE to the lowest computed polymorph: 10.00 kcal/mol of atoms
M_tot: 0.00 Bohr magnetons per cell
Energy of formation: 0.232 eV per atom

***

[9]
ScGaSn: relaxed, PBE-GGA.

Unit cell a=4.118 b=4.188 c=7.682 alpha=105.82 beta=90.00 gamma=90.00
Atoms (fractional coordinates):
Ga: 0.750 0.253 0.506
Ga: 0.250 0.747 0.494
Sn: 0.250 0.424 0.848
Sn: 0.750 0.576 0.152
Sc: 0.250 0.096 0.193
Sc: 0.750 0.904 0.807

Output
ΔE to the lowest computed polymorph: 0.02 kcal/mol of atoms
M_tot: 0.00 Bohr magnetons per cell
Energy of formation: -0.442 eV per atom

***

[10]
Cd2PtAu: relaxed, PBE-GGA.

Unit cell a=5.015 b=5.015 c=3.031 alpha=90.00 beta=90.00 gamma=105.35
Atoms (fractional coordinates):
Au: 0.000 0.500 0.500
Pt: 0.500 0.000 0.500
Cd: 0.000 0.000 0.000
Cd: 0.500 0.500 0.000

Output
M_tot: 0.00 Bohr magnetons per cell
Energy of formation: -0.233 eV per atom

***

[11]
ZnWAu3: relaxed, PBE-GGA.

Unit cell a=4.643 b=4.643 c=4.643 alpha=90.00 beta=90.00 gamma=90.00
Atoms (fractional coordinates):
Au: 0.500 0.000 0.000
Au: 0.000 0.000 0.500
Au: 0.000 0.500 0.000
Zn: 0.000 0.000 0.000
W: 0.500 0.500 0.500

Output
ΔE to the lowest computed polymorph: 1.80 kcal/mol of atoms
M_tot: 0.00 Bohr magnetons per cell
Energy of formation: 1.308 eV per atom

***

[12]
HgMoAs2: relaxed, PBE-GGA.

Unit cell a=3.078 b=3.270 c=9.543 alpha=90.00 beta=90.00 gamma=90.00
Atoms (fractional coordinates):
Mo: 0.500 0.500 0.962
Hg: 0.000 0.000 0.498
As: 0.500 0.500 0.208
As: 0.000 0.000 0.832

Output
M_tot: 0.00 Bohr magnetons per cell
Energy of formation: 0.208 eV per atom